1.
First-principles (GGA-PBE) data for a relaxed KLaIn6 crystal, as listed in the Alexandria database.

Output
The crystal system is orthorhombic. Its formation energy is -0.2208 eV/atom. Its density of states at the Fermi level is 3.85 states/eV per cell. Its space group is Pmm2, No. 25.

a = 5.0397 Å, b = 6.8467 Å, c = 6.7748 Å
α = 90.00°, β = 90.00°, γ = 90.00°
Fractional coordinates of all 8 atoms:
In (0.0000, 0.1471, 0.2673)
In (0.0000, 0.7320, 0.5000)
In (0.5000, 0.2522, 0.0000)
In (0.5000, 0.8600, 0.7521)
In (0.5000, 0.8600, 0.2479)
In (0.0000, 0.1471, 0.7327)
La (0.5000, 0.3933, 0.5000)
K (0.0000, 0.6084, 0.0000)



2.
First-principles (GGA-PBE) data for a relaxed HfRh crystal, as listed in the Alexandria database.

Output
The crystal system is cubic. Its formation energy is 0.2408 eV/atom. Its density of states at the Fermi level is 14.45 states/eV per cell. Its space group is F-43m, No. 216.

a = 5.8832 Å, b = 5.8832 Å, c = 5.8832 Å
α = 90.00°, β = 90.00°, γ = 90.00°
Fractional coordinates of all 8 atoms:
Rh (0.2500, 0.7500, 0.7500)
Rh (0.7500, 0.2500, 0.7500)
Rh (0.2500, 0.2500, 0.2500)
Rh (0.7500, 0.7500, 0.2500)
Hf (0.5000, 0.0000, 0.5000)
Hf (0.0000, 0.0000, 0.0000)
Hf (0.0000, 0.5000, 0.5000)
Hf (0.5000, 0.5000, 0.0000)



3.
First-principles (GGA-PBE) data for a relaxed BaHfGa crystal, as listed in the Alexandria database.

Output
The crystal system is trigonal. Its formation energy is -0.0482 eV/atom. Its density of states at the Fermi level is 19.48 states/eV per cell. The polymorph energy (0 for the lowest one) is 0.1618 eV/atom. Its space group is R3m, No. 160.

a = 4.5916 Å, b = 4.5916 Å, c = 34.7200 Å
α = 90.00°, β = 90.00°, γ = 120.00°
Last column: magnetic moment on the atom in μB.
Fractional coordinates of all 18 atoms:
Ba (0.6667, 0.3333, 0.2664)  0.07
Ba (0.3333, 0.6667, 0.5997)  0.07
Ba (0.0000, 0.0000, 0.3862)  0.00
Ba (0.3333, 0.6667, 0.0528)  0.00
Ba (0.0000, 0.0000, 0.9330)  0.07
Ba (0.6667, 0.3333, 0.7195)  0.00
Ga (0.6667, 0.3333, 0.8463)  0.00
Ga (0.6667, 0.3333, 0.4459)  0.00
Ga (0.3333, 0.6667, 0.7793)  0.00
Ga (0.0000, 0.0000, 0.5130)  0.00
Ga (0.3333, 0.6667, 0.1796)  0.00
Ga (0.0000, 0.0000, 0.1126)  0.00
Hf (0.0000, 0.0000, 0.1936)  0.11
Hf (0.6667, 0.3333, 0.5270)  0.11
Hf (0.0000, 0.0000, 0.8111)  0.02
Hf (0.3333, 0.6667, 0.8603)  0.11
Hf (0.6667, 0.3333, 0.1444)  0.02
Hf (0.3333, 0.6667, 0.4777)  0.02



4.
First-principles (GGA-PBE) data for a relaxed TcAg2Ru crystal, as listed in the Alexandria database.

Output
The crystal system is orthorhombic. Its formation energy is 0.6228 eV/atom. Its density of states at the Fermi level is 3.99 states/eV per cell. The polymorph energy (0 for the lowest one) is 0.3921 eV/atom. Its space group is Cmmm, No. 65.

a = 2.7067 Å, b = 2.7067 Å, c = 9.8833 Å
α = 90.00°, β = 90.00°, γ = 117.18°
Last column: magnetic moment on the atom in μB.
Fractional coordinates of all 4 atoms:
Ru (0.5000, 0.5000, 0.2500)  0.71
Ag (0.0000, 0.0000, 0.0015)  0.01
Ag (0.0000, 0.0000, 0.4985)  0.01
Tc (0.5000, 0.5000, 0.7500)  -0.01



5.
First-principles (GGA-PBE) data for a relaxed Nb3InH crystal, as listed in the Alexandria database.

Output
The crystal system is hexagonal. Its density of states at the Fermi level is 4.01 states/eV per cell. The electronic total energy comes out at -6.995 eV/atom. Its space group is P6_3/mmc, No. 194.

a = 4.7696 Å, b = 4.7696 Å, c = 8.2497 Å
α = 90.00°, β = 90.00°, γ = 120.00°
Fractional coordinates of all 10 atoms:
Nb (0.3333, 0.6667, 0.4128)
Nb (0.6667, 0.3333, 0.5872)
Nb (0.6667, 0.3333, 0.9128)
Nb (0.0000, 0.0000, 0.7500)
Nb (0.0000, 0.0000, 0.2500)
Nb (0.3333, 0.6667, 0.0872)
H (0.0000, 0.0000, 0.5000)
H (0.0000, 0.0000, 0.0000)
In (0.6667, 0.3333, 0.2500)
In (0.3333, 0.6667, 0.7500)



6.
First-principles (GGA-PBE) data for a relaxed YAu3O crystal, as listed in the Alexandria database.

Output
The crystal system is cubic. Its density of states at the Fermi level is 27.34 states/eV per cell. The polymorph energy (0 for the lowest one) is 1.1197 eV/atom. Its space group is Pm-3m, No. 221.

a = 5.5212 Å, b = 5.5212 Å, c = 5.5212 Å
α = 90.00°, β = 90.00°, γ = 90.00°
Fractional coordinates of all 5 atoms:
Au (0.0000, 0.0000, 0.5000)
Au (0.5000, 0.0000, 0.0000)
Au (0.0000, 0.5000, 0.0000)
Y (0.0000, 0.0000, 0.0000)
O (0.5000, 0.5000, 0.5000)



7.
First-principles (GGA-PBE) data for a relaxed Ac2DyPuN5 crystal, as listed in the Alexandria database.

Output
The crystal system is orthorhombic. Its density of states at the Fermi level is 9.20 states/eV per cell. The electronic total energy comes out at -8.710 eV/atom. Its space group is Cmc2_1, No. 36.

a = 3.7077 Å, b = 7.4671 Å, c = 11.4698 Å
α = 90.00°, β = 90.00°, γ = 104.38°
Last column: magnetic moment on the atom in μB.
Fractional coordinates of all 18 atoms:
N (0.3901, 0.7802, 0.0049)  -0.12
N (0.0590, 0.1180, 0.0504)  -0.18
N (0.5104, 0.0208, 0.2829)  -0.15
N (0.6099, 0.2198, 0.5049)  -0.12
N (0.6677, 0.3354, 0.8948)  -0.13
N (0.3323, 0.6646, 0.3948)  -0.13
N (0.2731, 0.5461, 0.6561)  -0.05
N (0.7269, 0.4539, 0.1561)  -0.05
N (0.9410, 0.8820, 0.5504)  -0.18
N (0.4896, 0.9792, 0.7829)  -0.15
Dy (0.2244, 0.4488, 0.0108)  -0.02
Dy (0.7756, 0.5512, 0.5108)  -0.02
Ac (0.8565, 0.7130, 0.7781)  0.00
Ac (0.1435, 0.2870, 0.2781)  0.00
Ac (0.1025, 0.2051, 0.6874)  0.00
Ac (0.8975, 0.7949, 0.1874)  0.00
Pu (0.5315, 0.0630, 0.9586)  2.73
Pu (0.4685, 0.9370, 0.4586)  2.73



8.
First-principles (GGA-PBE) data for a relaxed LaH2O3 crystal, as listed in the Alexandria database.

Output
The crystal system is orthorhombic. The electronic total energy comes out at -6.128 eV/atom. Its space group is Pmc2_1, No. 26.

a = 3.7723 Å, b = 5.5837 Å, c = 7.2130 Å
α = 90.00°, β = 90.00°, γ = 90.00°
Last column: magnetic moment on the atom in μB.
Fractional coordinates of all 12 atoms:
H (0.5000, 0.9657, 0.1640)  0.00
H (0.5000, 0.4657, 0.8360)  0.00
H (0.0000, 0.0300, 0.3922)  0.00
H (0.0000, 0.5300, 0.6078)  0.00
La (0.0000, 0.9909, 0.7663)  -0.01
La (0.0000, 0.4909, 0.2337)  -0.01
O (0.5000, 0.2838, 0.8227)  0.33
O (0.5000, 0.2543, 0.1361)  0.48
O (0.5000, 0.7543, 0.8639)  0.48
O (0.0000, 0.1767, 0.4659)  0.04
O (0.5000, 0.7838, 0.1773)  0.33
O (0.0000, 0.6767, 0.5341)  0.04



9.
First-principles (GGA-PBE) data for a relaxed PmSm2OsN4 crystal, as listed in the Alexandria database.

Output
The crystal system is orthorhombic. Its density of states at the Fermi level is 3.91 states/eV per cell. The electronic total energy comes out at -8.190 eV/atom. Its space group is Cmcm, No. 63.

a = 3.4690 Å, b = 6.2022 Å, c = 11.9842 Å
α = 90.00°, β = 90.00°, γ = 106.24°
Fractional coordinates of all 16 atoms:
Sm (0.3682, 0.7365, 0.9586)
Sm (0.6318, 0.2635, 0.4586)
Sm (0.3682, 0.7365, 0.5414)
Sm (0.6318, 0.2635, 0.0414)
N (0.0000, 0.0000, 0.5000)
N (0.4359, 0.8718, 0.7500)
N (0.2707, 0.5415, 0.1342)
N (0.2707, 0.5415, 0.3658)
N (0.7293, 0.4585, 0.6342)
N (0.5641, 0.1282, 0.2500)
N (0.0000, 0.0000, 0.0000)
N (0.7293, 0.4585, 0.8658)
Os (0.8560, 0.7119, 0.7500)
Os (0.1440, 0.2881, 0.2500)
Pm (0.1230, 0.2460, 0.7500)
Pm (0.8770, 0.7540, 0.2500)



10.
First-principles (GGA-PBE) data for a relaxed CaHoIrO6 crystal, as listed in the Alexandria database.

Output
The crystal system is trigonal. Its density of states at the Fermi level is 8.75 states/eV per cell. The electronic total energy comes out at -6.934 eV/atom. Its space group is P-31c, No. 163.

a = 5.5311 Å, b = 5.5311 Å, c = 9.6209 Å
α = 90.00°, β = 90.00°, γ = 120.00°
Last column: magnetic moment on the atom in μB.
Fractional coordinates of all 18 atoms:
O (0.6194, 0.9569, 0.8627)  0.12
O (0.3806, 0.3374, 0.3627)  0.12
O (0.0431, 0.6626, 0.8627)  0.12
O (0.3374, 0.3806, 0.8627)  0.12
O (0.6626, 0.0431, 0.3627)  0.12
O (0.0431, 0.3806, 0.6373)  0.12
O (0.9569, 0.3374, 0.1373)  0.12
O (0.3806, 0.0431, 0.1373)  0.12
O (0.6626, 0.6194, 0.1373)  0.12
O (0.6194, 0.6626, 0.6373)  0.12
O (0.9569, 0.6194, 0.3627)  0.12
O (0.3374, 0.9569, 0.6373)  0.12
Ca (0.0000, 0.0000, 0.0000)  0.01
Ca (0.0000, 0.0000, 0.5000)  0.01
Ir (0.3333, 0.6667, 0.7500)  0.99
Ir (0.6667, 0.3333, 0.2500)  0.99
Ho (0.6667, 0.3333, 0.7500)  0.07
Ho (0.3333, 0.6667, 0.2500)  0.07



11.
First-principles (GGA-PBE) data for a relaxed LiMnC2 crystal, as listed in the Alexandria database.

Output
The crystal system is cubic. Its formation energy is 1.1308 eV/atom. Its density of states at the Fermi level is 2.40 states/eV per cell. The polymorph energy (0 for the lowest one) is 0.4074 eV/atom. Its space group is Fm-3m, No. 225.

a = 3.4846 Å, b = 3.4846 Å, c = 3.4846 Å
α = 60.00°, β = 60.00°, γ = 60.00°
Fractional coordinates of all 4 atoms:
C (0.2500, 0.2500, 0.2500)
C (0.7500, 0.7500, 0.7500)
Mn (0.5000, 0.5000, 0.5000)
Li (0.0000, 0.0000, 0.0000)



12.
First-principles (GGA-PBE) data for a relaxed TiAg2Sb2 crystal, as listed in the Alexandria database.

Output
The crystal system is tetragonal. Its density of states at the Fermi level is 7.54 states/eV per cell. The electronic total energy comes out at -4.259 eV/atom. Its space group is P4/mbm, No. 127.

a = 7.4603 Å, b = 7.4603 Å, c = 4.0156 Å
α = 90.00°, β = 90.00°, γ = 90.00°
Last column: magnetic moment on the atom in μB.
Fractional coordinates of all 10 atoms:
Sb (0.1639, 0.3361, 0.0000)  -0.02
Sb (0.6639, 0.1639, 0.0000)  -0.03
Sb (0.8361, 0.6639, 0.0000)  -0.02
Sb (0.3361, 0.8361, 0.0000)  -0.03
Ti (0.5000, 0.5000, 0.0000)  0.81
Ti (0.0000, 0.0000, 0.0000)  0.80
Ag (0.3607, 0.1393, 0.5000)  0.00
Ag (0.8607, 0.3607, 0.5000)  0.00
Ag (0.1393, 0.6393, 0.5000)  0.00
Ag (0.6393, 0.8607, 0.5000)  0.00



no.,volume (Å³ per atom)
1,29.22
2,25.45
3,35.22
4,16.10
5,16.25
6,33.66
7,17.09
8,12.66
9,15.47
10,14.16
11,7.48
12,22.35